1.
## DyVSb3 (meta-GGA SCAN)

Data for DyVSb3 at its PBEsol-relaxed geometry.

Formation energy without anion corrections in eV per atom: -0.564
Calculated volume in Å³ per cell: 457.5

Unit cell a=5.8335 b=6.2333 c=12.5809 alpha=90.00 beta=90.00 gamma=90.00
Last column: nearest neighbours and their distance in Å.
Positions (direct):
Dy1 0.2500 0.5024 0.3108  9 Sb 3.10-3.36, 2 V 3.40
Dy2 0.7500 0.4976 0.6892  9 Sb 3.10-3.36, 2 V 3.40
Dy3 0.7500 0.9976 0.3108  9 Sb 3.10-3.36, 2 V 3.40
Dy4 0.2500 0.0024 0.6892  9 Sb 3.10-3.36, 2 V 3.40
V1 0.5000 0.7500 0.8989  6 Sb 2.69-2.71, 2 V 2.92
V2 0.0000 0.2500 0.1011  6 Sb 2.69-2.71, 2 V 2.92
V3 0.5000 0.2500 0.1011  6 Sb 2.69-2.71, 2 V 2.92
V4 0.0000 0.7500 0.8989  6 Sb 2.69-2.71, 2 V 2.92
Sb1 0.2500 0.6049 0.0659  4 V 2.69-2.71
Sb2 0.7500 0.3951 0.9341  4 V 2.69-2.71
Sb3 0.7500 0.8951 0.0659  4 V 2.69-2.71
Sb4 0.2500 0.1049 0.9341  4 V 2.69-2.71
Sb5 0.2500 0.9909 0.2272  2 V 2.69
Sb6 0.7500 0.0091 0.7728  2 V 2.69
Sb7 0.7500 0.5091 0.2272  2 V 2.69
Sb8 0.2500 0.4909 0.7728  2 V 2.69
Sb9 0.5000 0.7500 0.5017  4 Sb 2.92-3.12, 4 Dy 3.19-3.21
Sb10 0.0000 0.2500 0.4983  4 Sb 2.92-3.12, 4 Dy 3.19-3.21
Sb11 0.5000 0.2500 0.4983  4 Sb 2.92-3.12, 4 Dy 3.19-3.21
Sb12 0.0000 0.7500 0.5017  4 Sb 2.92-3.12, 4 Dy 3.19-3.21

***

2.
## DyZrSb (meta-GGA SCAN)

Data for DyZrSb at its PBEsol-relaxed geometry.

Formation energy without anion corrections in eV per atom: -0.881
Calculated volume in Å³ per cell: 145.5

Unit cell a=4.2083 b=4.2083 c=8.7382 alpha=103.93 beta=103.93 gamma=90.00
Last column: nearest neighbours and their distance in Å.
Positions (direct):
Sb1 0.8665 0.8665 0.7331  4 Zr 3.04, 5 Dy 3.06-3.11
Sb2 0.1335 0.1335 0.2669  4 Zr 3.04, 5 Dy 3.06-3.11
Zr1 0.5000 0.0000 0.0000  4 Zr 2.98, 4 Sb 3.04
Zr2 0.0000 0.5000 0.0000  4 Zr 2.98, 4 Sb 3.04
Dy1 0.3230 0.3230 0.6459  5 Sb 3.06-3.11
Dy2 0.6770 0.6770 0.3541  5 Sb 3.06-3.11

***

3.
## DyScZn2 (meta-GGA SCAN)

Data for DyScZn2 at its PBEsol-relaxed geometry.

Calculated volume in Å³ per cell: 79.0
Formation energy from the elements in eV/atom: -0.438

Unit cell a=4.8155 b=4.8155 c=4.8155 alpha=60.00 beta=60.00 gamma=60.00
Last column: nearest neighbours and their distance in Å.
Positions (direct):
Sc1 0.0000 0.0000 0.0000  8 Zn 2.95
Zn1 0.7500 0.7500 0.7500  4 Dy 2.95, 4 Sc 2.95
Zn2 0.2500 0.2500 0.2500  4 Sc 2.95, 4 Dy 2.95
Dy1 0.5000 0.5000 0.5000  8 Zn 2.95

***

What is the calculated volume in the second record?
145.5 Å³ per cell

***

Among the records above, which one has the lowest calculated volume?
DyScZn2

***

Which value of calculated volume does entry 2 give?
145.5 Å³ per cell

***

The highest calculated volume belongs to which entry?
DyVSb3